1.
Material: CaFeSiO5
Method: DFT, GGA-PBEsol
State: optimized geometry

```
CaFeSiO5
1.0
5.341 0.032 -0.018
-1.496 5.127 -0.018
-1.660 -2.228 6.204
O Ca Si Fe
10 2 2 2
Direct
0.758 0.625 0.916
0.242 0.375 0.084
0.375 0.242 0.584
0.064 0.936 0.750
0.625 0.758 0.416
0.896 0.310 0.609
0.310 0.896 0.109
0.690 0.104 0.891
0.104 0.690 0.391
0.936 0.064 0.250
0.669 0.331 0.250
0.331 0.669 0.750
0.313 0.687 0.250
0.687 0.313 0.750
0.000 0.000 0.500
0.000 0.000 0.000
```

Output
- formation energy (no corrections) (eV/atom) = -2.330
- M_tot (μB/atom) = 0.25
- SG = C2/c, No. 15
- DFT total energy (eV/f.u.) = -61.73

---

2.
Material: ZrGa3Au
Method: DFT, GGA-PBEsol
State: optimized geometry

```
ZrGa3Au
1.0
-2.102 2.071 4.145
-1.898 -4.537 1.305
4.227 -1.007 2.646
Ga Au Zr
3 1 1
Direct
0.000 0.000 0.500
0.500 0.000 0.000
0.000 0.500 0.000
0.500 0.500 0.500
0.000 0.000 0.000
```

Output
- M_tot (μB/atom) = 0.00
- SG = Pm-3m, No. 221
- DFT total energy (eV/f.u.) = -18.61
- DFT formation energy (eV/atom) = 0.885

---

3.
Material: KH5O3
Method: DFT, GGA-PBEsol
State: optimized geometry

```
KH5O3
1.0
7.056 -0.068 0.088
0.006 7.056 0.088
3.430 3.394 6.808
K H O
4 20 12
Direct
0.507 0.754 0.744
0.751 0.499 0.244
0.501 0.249 0.756
0.246 0.493 0.256
0.419 0.757 0.396
0.068 0.224 0.100
0.549 0.243 0.085
0.012 0.713 0.749
0.790 0.990 0.246
0.924 0.582 0.601
0.776 0.932 0.900
0.092 0.447 0.915
0.884 0.079 0.414
0.921 0.116 0.586
0.287 0.988 0.251
0.887 0.744 0.415
0.010 0.210 0.754
0.067 0.902 0.104
0.243 0.581 0.604
0.553 0.908 0.085
0.418 0.076 0.399
0.256 0.113 0.585
0.757 0.451 0.915
0.098 0.933 0.896
0.596 0.404 0.000
0.625 0.842 0.993
0.016 0.079 0.740
0.158 0.375 0.007
0.846 0.154 0.500
0.396 0.604 0.500
0.866 0.586 0.507
0.431 0.995 0.239
0.147 0.853 0.000
0.921 0.984 0.260
0.414 0.134 0.493
0.005 0.569 0.761
```

Output
- M_tot (μB/atom) = 0.00
- SG = C2, No. 5
- DFT total energy (eV/f.u.) = -44.18

---

4.
Material: RbTl2Hg2
Method: DFT, GGA-PBEsol
State: optimized geometry

```
RbTl2Hg2
1.0
3.471 0.000 0.000
0.000 9.209 0.000
0.000 0.000 9.209
Rb Tl Hg
2 4 4
Direct
0.000 0.500 0.500
0.000 0.000 0.000
0.000 0.868 0.632
0.000 0.368 0.868
0.000 0.132 0.368
0.000 0.632 0.132
0.500 0.161 0.661
0.500 0.339 0.161
0.500 0.839 0.339
0.500 0.661 0.839
```

Output
- M_tot (μB/atom) = 0.00
- SG = P4/mbm, No. 127
- DFT total energy (eV/f.u.) = -7.91
- DFT formation energy (eV/atom) = -0.098

---

5.
Material: BeInSb2
Method: DFT, GGA-PBEsol
State: optimized geometry

```
BeInSb2
1.0
-3.567 1.391 -1.459
-1.693 -3.676 0.635
1.179 2.676 5.423
Sb Be In
2 1 1
Direct
0.000 0.000 0.000
0.750 0.250 0.500
0.500 0.500 0.000
0.250 0.750 0.500
```

Output
- formation energy (no corrections) (eV/atom) = 0.505
- M_tot (μB/atom) = 0.00
- SG = I-4m2, No. 119
- DFT total energy (eV/f.u.) = -14.08

---

6.
Material: TmMg5
Method: DFT, GGA-PBEsol
State: optimized geometry

```
TmMg5
1.0
-1.272 1.748 -2.383
-0.319 -3.202 -0.007
-13.493 1.325 8.175
Mg Tm
5 1
Direct
0.333 0.667 0.838
0.000 0.000 0.325
0.333 0.667 0.162
0.000 0.000 0.675
0.000 0.000 0.000
0.333 0.667 0.500
```

Output
- M_tot (μB/atom) = 0.00
- SG = P-6m2, No. 187
- DFT total energy (eV/f.u.) = -13.44
- DFT formation energy (eV/atom) = 0.008

---

7.
Material: Sb2TeSeBr
Method: DFT, GGA-PBEsol
State: optimized geometry

```
Sb2TeSeBr
1.0
5.308 0.000 0.000
0.000 5.508 0.000
0.000 0.000 5.508
Br Sb Se Te
1 2 1 1
Direct
0.000 0.000 0.000
0.000 0.500 0.000
0.000 0.000 0.500
0.500 0.500 0.500
0.500 0.000 0.000
```

Output
- formation energy (no corrections) (eV/atom) = 1.065
- M_tot (μB/atom) = 0.00
- SG = P4/mmm, No. 123
- DFT total energy (eV/f.u.) = -13.04

---

8.
Material: CaMg3Cu3
Method: DFT, GGA-PBEsol
State: optimized geometry

```
CaMg3Cu3
1.0
-3.089 -1.056 2.838
-1.444 -7.057 -4.196
5.619 0.113 6.157
Cu Mg Ca
6 6 2
Direct
0.750 0.453 0.046
0.250 0.407 0.453
0.750 0.954 0.407
0.250 0.046 0.593
0.250 0.547 0.954
0.750 0.593 0.547
0.750 0.768 0.034
0.250 0.734 0.768
0.250 0.232 0.966
0.250 0.034 0.266
0.750 0.266 0.232
0.750 0.966 0.734
0.250 0.667 0.333
0.750 0.333 0.667
```

Output
- M_tot (μB/atom) = 0.00
- SG = P6_3/m, No. 176
- DFT total energy (eV/f.u.) = -20.54
- DFT formation energy (eV/atom) = -0.036